# PBE+U NaSrV2O6, optimized geometry
data_NaSrV2O6
_symmetry_space_group_name_H-M 'P 1'
_symmetry_Int_Tables_number 1
_cell_length_a 7.5702
_cell_length_b 7.5702
_cell_length_c 6.1655
_cell_angle_alpha 105.07
_cell_angle_beta 105.07
_cell_angle_gamma 85.27
loop_
_symmetry_equiv_pos_as_xyz
'x,y,z'
loop_
_atom_site_label
_atom_site_type_symbol
_atom_site_fract_x
_atom_site_fract_y
_atom_site_fract_z
Na1 Na 0.2159 0.7841 0.7500
Na2 Na 0.7841 0.2159 0.2500
Sr1 Sr 0.3951 0.6049 0.2500
Sr2 Sr 0.6049 0.3951 0.7500
V1 V 0.1233 0.2934 0.7097
V2 V 0.2934 0.1233 0.2097
V3 V 0.7066 0.8767 0.7903
V4 V 0.8767 0.7066 0.2903
O1 O 0.1031 0.6405 0.3516
O2 O 0.1592 0.1623 0.4284
O3 O 0.1623 0.1592 0.9284
O4 O 0.2787 0.4716 0.8232
O5 O 0.3595 0.8969 0.1484
O6 O 0.4716 0.2787 0.3232
O7 O 0.5284 0.7213 0.6768
O8 O 0.6405 0.1031 0.8516
O9 O 0.7213 0.5284 0.1768
O10 O 0.8377 0.8408 0.0716
O11 O 0.8408 0.8377 0.5716
O12 O 0.8969 0.3595 0.6484
# * N(E_F): 1.68 states/eV/f.u.
# * E: -6.94 eV per atom


# PBE+U Na2SrV3O9, optimized geometry
data_Na2SrV3O9
_symmetry_space_group_name_H-M 'P 1'
_symmetry_Int_Tables_number 1
_cell_length_a 5.5136
_cell_length_b 15.1632
_cell_length_c 10.2658
_cell_angle_alpha 90.00
_cell_angle_beta 98.11
_cell_angle_gamma 90.00
loop_
_symmetry_equiv_pos_as_xyz
'x,y,z'
loop_
_atom_site_label
_atom_site_type_symbol
_atom_site_fract_x
_atom_site_fract_y
_atom_site_fract_z
Na1 Na 0.2336 0.2067 0.0314
Na2 Na 0.2336 0.2933 0.5314
Na3 Na 0.2495 0.5654 0.4783
Na4 Na 0.2495 0.9346 0.9783
Na5 Na 0.7505 0.0654 0.0217
Na6 Na 0.7505 0.4346 0.5217
Na7 Na 0.7664 0.7067 0.4686
Na8 Na 0.7664 0.7933 0.9686
Sr1 Sr 0.2617 0.6139 0.0318
Sr2 Sr 0.2617 0.8861 0.5318
Sr3 Sr 0.7383 0.1139 0.4682
Sr4 Sr 0.7383 0.3861 0.9682
V1 V 0.2078 0.0474 0.2951
V2 V 0.2078 0.4526 0.7951
V3 V 0.2116 0.7376 0.7556
V4 V 0.2116 0.7624 0.2556
V5 V 0.2936 0.0998 0.7157
V6 V 0.2936 0.4002 0.2157
V7 V 0.7064 0.5998 0.7843
V8 V 0.7064 0.9002 0.2843
V9 V 0.7884 0.2376 0.7444
V10 V 0.7884 0.2624 0.2444
V11 V 0.7922 0.5474 0.2049
V12 V 0.7922 0.9526 0.7049
O1 O 0.0330 0.0152 0.6457
O2 O 0.0330 0.4848 0.1457
O3 O 0.0358 0.1914 0.6705
O4 O 0.0358 0.3086 0.1705
O5 O 0.1722 0.0596 0.1291
O6 O 0.1722 0.4404 0.6291
O7 O 0.1862 0.7184 0.5905
O8 O 0.1862 0.7816 0.0905
O9 O 0.2472 0.6517 0.2776
O10 O 0.2472 0.8483 0.7776
O11 O 0.2524 0.1416 0.3868
O12 O 0.2524 0.3584 0.8868
O13 O 0.3490 0.0899 0.8789
O14 O 0.3490 0.4101 0.3789
O15 O 0.4797 0.5145 0.8508
O16 O 0.4797 0.9855 0.3508
O17 O 0.4816 0.6884 0.8421
O18 O 0.4816 0.8116 0.3421
O19 O 0.5184 0.1884 0.6579
O20 O 0.5184 0.3116 0.1579
O21 O 0.5203 0.0145 0.6492
O22 O 0.5203 0.4855 0.1492
O23 O 0.6510 0.5899 0.6211
O24 O 0.6510 0.9101 0.1211
O25 O 0.7476 0.6416 0.1132
O26 O 0.7476 0.8584 0.6132
O27 O 0.7528 0.1517 0.2224
O28 O 0.7528 0.3483 0.7224
O29 O 0.8138 0.2184 0.9095
O30 O 0.8138 0.2816 0.4095
O31 O 0.8278 0.5596 0.3709
O32 O 0.8278 0.9404 0.8709
O33 O 0.9642 0.6914 0.8295
O34 O 0.9642 0.8086 0.3295
O35 O 0.9670 0.5152 0.8543
O36 O 0.9670 0.9848 0.3543
# * N(E_F): 0.00 states/eV/f.u.
# * E: -6.92 eV per atom


# PBE+U Na2SrV4O12, optimized geometry
data_Na2SrV4O12
_symmetry_space_group_name_H-M 'P 1'
_symmetry_Int_Tables_number 1
_cell_length_a 10.7506
_cell_length_b 10.7506
_cell_length_c 5.0829
_cell_angle_alpha 90.00
_cell_angle_beta 90.00
_cell_angle_gamma 90.00
loop_
_symmetry_equiv_pos_as_xyz
'x,y,z'
loop_
_atom_site_label
_atom_site_type_symbol
_atom_site_fract_x
_atom_site_fract_y
_atom_site_fract_z
Na1 Na 0.0000 0.0000 0.0000
Na2 Na 0.0000 0.5000 0.0000
Na3 Na 0.5000 0.0000 0.0000
Na4 Na 0.5000 0.5000 0.0000
Sr1 Sr 0.2500 0.2500 0.0000
Sr2 Sr 0.7500 0.7500 0.0000
V1 V 0.0325 0.7500 0.5000
V2 V 0.2500 0.5325 0.5000
V3 V 0.2500 0.9675 0.5000
V4 V 0.4675 0.7500 0.5000
V5 V 0.5325 0.2500 0.5000
V6 V 0.7500 0.0325 0.5000
V7 V 0.7500 0.4675 0.5000
V8 V 0.9675 0.2500 0.5000
O1 O 0.0536 0.1830 0.2630
O2 O 0.0536 0.3170 0.7370
O3 O 0.1317 0.6317 0.6510
O4 O 0.1317 0.8683 0.3490
O5 O 0.1830 0.0536 0.7370
O6 O 0.1830 0.4464 0.2630
O7 O 0.3170 0.0536 0.2630
O8 O 0.3170 0.4464 0.7370
O9 O 0.3683 0.6317 0.3490
O10 O 0.3683 0.8683 0.6510
O11 O 0.4464 0.1830 0.7370
O12 O 0.4464 0.3170 0.2630
O13 O 0.5536 0.6830 0.7370
O14 O 0.5536 0.8170 0.2630
O15 O 0.6317 0.1317 0.3490
O16 O 0.6317 0.3683 0.6510
O17 O 0.6830 0.5536 0.2630
O18 O 0.6830 0.9464 0.7370
O19 O 0.8170 0.5536 0.7370
O20 O 0.8170 0.9464 0.2630
O21 O 0.8683 0.1317 0.6510
O22 O 0.8683 0.3683 0.3490
O23 O 0.9464 0.6830 0.2630
O24 O 0.9464 0.8170 0.7370
# * N(E_F): 0.00 states/eV/f.u.
# * E: -7.02 eV per atom


# PBE+U NaSrVO4, optimized geometry
data_NaSrVO4
_symmetry_space_group_name_H-M 'P 1'
_symmetry_Int_Tables_number 1
_cell_length_a 5.7749
_cell_length_b 5.9677
_cell_length_c 6.8183
_cell_angle_alpha 90.00
_cell_angle_beta 109.85
_cell_angle_gamma 90.00
loop_
_symmetry_equiv_pos_as_xyz
'x,y,z'
loop_
_atom_site_label
_atom_site_type_symbol
_atom_site_fract_x
_atom_site_fract_y
_atom_site_fract_z
Na1 Na 0.1597 0.2500 0.0122
Na2 Na 0.8403 0.7500 0.9878
Sr1 Sr 0.2736 0.2500 0.5574
Sr2 Sr 0.7264 0.7500 0.4426
V1 V 0.2722 0.7500 0.8160
V2 V 0.7278 0.2500 0.1840
O1 O 0.0696 0.5218 0.7429
O2 O 0.0696 0.9782 0.7429
O3 O 0.4260 0.7500 0.0803
O4 O 0.4730 0.7500 0.6725
O5 O 0.5270 0.2500 0.3275
O6 O 0.5740 0.2500 0.9197
O7 O 0.9304 0.0218 0.2571
O8 O 0.9304 0.4782 0.2571
# * N(E_F): 0.00 states/eV/f.u.
# * E: -6.65 eV per atom


# PBE+U Na2SrVO4, optimized geometry
data_Na2SrVO4
_symmetry_space_group_name_H-M 'P 1'
_symmetry_Int_Tables_number 1
_cell_length_a 5.7011
_cell_length_b 5.7011
_cell_length_c 7.2308
_cell_angle_alpha 90.00
_cell_angle_beta 90.00
_cell_angle_gamma 90.00
loop_
_symmetry_equiv_pos_as_xyz
'x,y,z'
loop_
_atom_site_label
_atom_site_type_symbol
_atom_site_fract_x
_atom_site_fract_y
_atom_site_fract_z
Na1 Na 0.0000 0.5000 0.2500
Na2 Na 0.0000 0.5000 0.7500
Na3 Na 0.5000 0.0000 0.2500
Na4 Na 0.5000 0.0000 0.7500
Sr1 Sr 0.0000 0.0000 0.0000
Sr2 Sr 0.5000 0.5000 0.5000
V1 V 0.0000 0.0000 0.5000
V2 V 0.5000 0.5000 0.0000
O1 O 0.1997 0.1997 0.6227
O2 O 0.1997 0.8003 0.3773
O3 O 0.3003 0.3003 0.1227
O4 O 0.3003 0.6997 0.8773
O5 O 0.6997 0.3003 0.8773
O6 O 0.6997 0.6997 0.1227
O7 O 0.8003 0.1997 0.3773
O8 O 0.8003 0.8003 0.6227
# * E: -6.02 eV per atom


# PBE+U Na3Sr2WO6, optimized geometry
data_Na3Sr2WO6
_symmetry_space_group_name_H-M 'P 1'
_symmetry_Int_Tables_number 1
_cell_length_a 6.0813
_cell_length_b 6.0813
_cell_length_c 5.8892
_cell_angle_alpha 99.62
_cell_angle_beta 99.62
_cell_angle_gamma 120.32
loop_
_symmetry_equiv_pos_as_xyz
'x,y,z'
loop_
_atom_site_label
_atom_site_type_symbol
_atom_site_fract_x
_atom_site_fract_y
_atom_site_fract_z
Na1 Na 0.0000 0.0000 0.0000
Na2 Na 0.3486 0.6514 0.0000
Na3 Na 0.6514 0.3486 0.0000
Sr1 Sr 0.1702 0.8298 0.5000
Sr2 Sr 0.8298 0.1702 0.5000
W1 W 0.5000 0.5000 0.5000
O1 O 0.1469 0.4272 0.2811
O2 O 0.2939 0.2939 0.6999
O3 O 0.4272 0.1469 0.2811
O4 O 0.5728 0.8531 0.7189
O5 O 0.7061 0.7061 0.3001
O6 O 0.8531 0.5728 0.7189
# * N(E_F): 0.00 states/eV/f.u.
# * E: -5.86 eV per atom


# PBE+U NaSrW2O8, optimized geometry
data_NaSrW2O8
_symmetry_space_group_name_H-M 'P 1'
_symmetry_Int_Tables_number 1
_cell_length_a 6.5004
_cell_length_b 6.5004
_cell_length_c 6.5004
_cell_angle_alpha 107.06
_cell_angle_beta 107.06
_cell_angle_gamma 114.42
loop_
_symmetry_equiv_pos_as_xyz
'x,y,z'
loop_
_atom_site_label
_atom_site_type_symbol
_atom_site_fract_x
_atom_site_fract_y
_atom_site_fract_z
Na1 Na 0.0000 0.0000 0.0000
Sr1 Sr 0.7500 0.2500 0.5000
W1 W 0.2500 0.7500 0.5000
W2 W 0.5000 0.5000 0.0000
O1 O 0.0927 0.4057 0.3130
O2 O 0.0927 0.7796 0.6870
O3 O 0.1584 0.3477 0.8107
O4 O 0.2204 0.9073 0.3130
O5 O 0.5370 0.3477 0.1893
O6 O 0.5943 0.9073 0.6870
O7 O 0.6523 0.4630 0.8107
O8 O 0.6523 0.8416 0.1893
# * N(E_F): 10.96 states/eV/f.u.
# * E: -6.75 eV per atom


# PBE+U NaSrYWO6, optimized geometry
data_NaSrYWO6
_symmetry_space_group_name_H-M 'P 1'
_symmetry_Int_Tables_number 1
_cell_length_a 5.8999
_cell_length_b 5.8999
_cell_length_c 5.8999
_cell_angle_alpha 60.00
_cell_angle_beta 60.00
_cell_angle_gamma 60.00
loop_
_symmetry_equiv_pos_as_xyz
'x,y,z'
loop_
_atom_site_label
_atom_site_type_symbol
_atom_site_fract_x
_atom_site_fract_y
_atom_site_fract_z
Na1 Na 0.0000 0.0000 0.0000
Sr1 Sr 0.5000 0.5000 0.5000
Y1 Y 0.7500 0.7500 0.7500
W1 W 0.2500 0.2500 0.2500
O1 O 0.0166 0.0166 0.4834
O2 O 0.0166 0.4834 0.0166
O3 O 0.0166 0.4834 0.4834
O4 O 0.4834 0.0166 0.0166
O5 O 0.4834 0.0166 0.4834
O6 O 0.4834 0.4834 0.0166
# * N(E_F): 0.00 states/eV/f.u.
# * E: -7.26 eV per atom